Crystalline LaAg3Se at its relaxed geometry. Source: Alexandria via LeMat-Bulk, functional PBE.

abc: 5.0962 5.0962 5.0962
angles: 90.00 90.00 90.00
Last column: nearest neighbours and their distance in Å.
Space group Pm-3m (No. 221)
Symmetry-distinct sites (fractional):
La (0.0000, 0.0000, 0.0000) (multiplicity 1)  12 Ag 3.60
Ag (0.0000, 0.5000, 0.5000) (multiplicity 3)  2 Se 2.55
Se (0.5000, 0.5000, 0.5000) (multiplicity 1)  6 Ag 2.55

Computed properties:
* formation energy from raw total energies: 0.16 eV/atom
* excess energy over the best structure of this formula in the dataset: 0 meV/atom
* E_tot: -3.234 eV per atom